# 1
Computed, not measured: crystalline DyNpPb at its relaxed geometry at the PBE level of DFT.

The structure in POSCAR format:
```
DyNpPb
1.0
-4.295 -2.494 -1.690
-3.778 2.667 -2.476
-0.771 -0.705 -5.141
Dy Np Pb
1 1 1
direct
0.250 0.250 0.250
0.750 0.750 0.750
0.000 0.000 0.000
```

## Properties
Energy, eV per atom: -6.677
SG: F-43m

# 2
Computed, not measured: crystalline TbGeNO at its relaxed geometry at the PBE level of DFT.

The structure in POSCAR format:
```
TbGeNO
1.0
3.922 0.000 0.000
0.000 4.887 0.000
0.000 0.000 6.500
Ge N O Tb
2 2 2 2
direct
0.000 0.439 0.331
0.000 0.939 0.669
0.000 0.821 0.373
0.000 0.321 0.627
0.500 0.520 0.130
0.500 0.020 0.870
0.500 0.973 0.202
0.500 0.473 0.798
```

## Properties
Energy above the most stable polymorph in this dataset, meV/atom: 316.5
Energy, eV per atom: -6.984
SG: Pmc2_1

# 3
Computed, not measured: crystalline MgBeZnIn at its relaxed geometry at the PBE level of DFT.

The structure in POSCAR format:
```
MgBeZnIn
1.0
4.121 -1.249 1.663
0.400 -3.839 2.532
2.165 -3.691 -1.731
Be In Mg Zn
1 1 1 1
direct
0.750 0.750 0.750
0.000 0.000 0.000
0.250 0.250 0.250
0.500 0.500 0.500
```

## Properties
Energy above the most stable polymorph in this dataset, meV/atom: 18.8
Energy, eV per atom: -2.006
SG: F-43m